Entry 1:
This record from Alexandria via LeMat-Bulk describes PrSmY2 after structural relaxation. The functional is PBE.

Computed properties:
Formation enthalpy at 0 K ... 0.0196 eV per atom
Calculated volume ... 33.598 A^3/atom
Total magnetic moment ... 0.00 μB per cell

```
data_PrSmY2
_chemical_formula_sum 'Pr1 Sm1 Y2'
_cell_length_a 3.627
_cell_length_b 3.627
_cell_length_c 10.215
_cell_angle_alpha 90.00
_cell_angle_beta 90.00
_cell_angle_gamma 90.00
_symmetry_space_group_name_H-M 'P 4/m m m'
_symmetry_Int_Tables_number 123
_symmetry_space_group_name_Hall '-P 4 2'
loop_
_atom_site_label
_atom_site_type_symbol
_atom_site_fract_x
_atom_site_fract_y
_atom_site_fract_z
_atom_site_occupancy
Pr1 Pr 0.000 0.000 0.000 1
Sm1 Sm 0.000 0.000 0.500 1
Y1 Y 0.500 0.500 0.253 1
```

Entry 2:
This record from Alexandria via LeMat-Bulk describes KLiRe2N after structural relaxation. The functional is PBE.

Computed properties:
Calculated volume ... 15.905 A^3/atom
Total magnetic moment ... 0.00 μB per cell
Uncorrected formation energy ... 2641 meV/atom

```
data_KLiRe2N
_chemical_formula_sum 'K1 Li1 Re2 N1'
_cell_length_a 4.310
_cell_length_b 4.310
_cell_length_c 4.281
_cell_angle_alpha 90.00
_cell_angle_beta 90.00
_cell_angle_gamma 90.00
_symmetry_space_group_name_H-M 'P 4/m m m'
_symmetry_Int_Tables_number 123
_symmetry_space_group_name_Hall '-P 4 2'
loop_
_atom_site_label
_atom_site_type_symbol
_atom_site_fract_x
_atom_site_fract_y
_atom_site_fract_z
_atom_site_occupancy
K1 K 0.000 0.000 0.000 1
Li1 Li 0.500 0.500 0.500 1
Re1 Re 0.000 0.500 0.500 1
N1 N 0.500 0.500 0.000 1
```

Entry 3:
This record from Alexandria via LeMat-Bulk describes BaCdH2 after structural relaxation. The functional is PBE.

Computed properties:
Calculated volume ... 19.428 A^3/atom
E_tot ... -2.53 eV/atom
Total magnetic moment ... 0.00 μB per cell

```
data_BaCdH2
_chemical_formula_sum 'Ba4 Cd4 H8'
_cell_length_a 6.774
_cell_length_b 6.774
_cell_length_c 6.774
_cell_angle_alpha 90.00
_cell_angle_beta 90.00
_cell_angle_gamma 90.00
_symmetry_space_group_name_H-M 'F m -3 m'
_symmetry_Int_Tables_number 225
_symmetry_space_group_name_Hall '-F 4 2 3'
loop_
_atom_site_label
_atom_site_type_symbol
_atom_site_fract_x
_atom_site_fract_y
_atom_site_fract_z
_atom_site_occupancy
Ba1 Ba 0.000 0.000 0.000 1
Cd1 Cd 0.000 0.000 0.500 1
H1 H 0.250 0.250 0.250 1
```

Entry 4:
This record from Alexandria via LeMat-Bulk describes CsKHgS after structural relaxation. The functional is PBE.

Computed properties:
Calculated volume ... 35.211 A^3/atom
Total magnetic moment ... 0.00 μB per cell
Uncorrected formation energy ... -675 meV/atom

```
data_CsKHgS
_chemical_formula_sum 'Cs4 K4 Hg4 S4'
_cell_length_a 8.259
_cell_length_b 8.259
_cell_length_c 8.259
_cell_angle_alpha 90.00
_cell_angle_beta 90.00
_cell_angle_gamma 90.00
_symmetry_space_group_name_H-M 'F -4 3 m'
_symmetry_Int_Tables_number 216
_symmetry_space_group_name_Hall 'F -4 2 3'
loop_
_atom_site_label
_atom_site_type_symbol
_atom_site_fract_x
_atom_site_fract_y
_atom_site_fract_z
_atom_site_occupancy
Cs1 Cs 0.000 0.000 0.000 1
K1 K 0.000 0.000 0.500 1
Hg1 Hg 0.250 0.250 0.750 1
S1 S 0.250 0.250 0.250 1
```

Entry 5:
This record from Alexandria via LeMat-Bulk describes Ca2TaRe after structural relaxation. The functional is PBE.

Computed properties:
Formation enthalpy at 0 K ... 0.8376 eV per atom
Calculated volume ... 21.113 A^3/atom
Total magnetic moment ... 0.00 μB per cell

```
data_Ca2TaRe
_chemical_formula_sum 'Ca2 Ta1 Re1'
_cell_length_a 2.839
_cell_length_b 2.839
_cell_length_c 10.481
_cell_angle_alpha 90.00
_cell_angle_beta 90.00
_cell_angle_gamma 90.00
_symmetry_space_group_name_H-M 'P 4/m m m'
_symmetry_Int_Tables_number 123
_symmetry_space_group_name_Hall '-P 4 2'
loop_
_atom_site_label
_atom_site_type_symbol
_atom_site_fract_x
_atom_site_fract_y
_atom_site_fract_z
_atom_site_occupancy
Ca1 Ca 0.000 0.000 0.236 1
Ta1 Ta 0.500 0.500 0.500 1
Re1 Re 0.500 0.500 0.000 1
```

Entry 6:
This record from Alexandria via LeMat-Bulk describes PmYSi2Ni2 after structural relaxation. The functional is PBE.

Computed properties:
Calculated volume ... 18.846 A^3/atom
Total magnetic moment ... 0.00 μB per cell
Uncorrected formation energy ... -766 meV/atom

```
data_PmYSi2Ni2
_chemical_formula_sum 'Pm1 Y1 Si2 Ni2'
_cell_length_a 3.9825
_cell_length_b 3.9825
_cell_length_c 8.2326
_cell_angle_alpha 90.00
_cell_angle_beta 90.00
_cell_angle_gamma 120.00
_symmetry_space_group_name_H-M 'P -3 m 1'
_symmetry_Int_Tables_number 164
_symmetry_space_group_name_Hall '-P 3 2"'
loop_
_atom_site_label
_atom_site_type_symbol
_atom_site_fract_x
_atom_site_fract_y
_atom_site_fract_z
_atom_site_occupancy
Pm1 Pm 0.0000 0.0000 0.0000 1
Y1 Y 0.0000 0.0000 0.5000 1
Si1 Si 0.3333 0.6667 0.2558 1
Ni1 Ni 0.3333 0.6667 0.7428 1
```